1.
DFT (GGA-PBE) results for a relaxed structure of Tm2MnAl.

abc: 3.233 3.233 10.857
angles: 81.44 81.44 60.00
Positions (direct):
Tm (0.095, 0.095, 0.716)
Tm (0.905, 0.905, 0.284)
Al (0.000, 0.000, 0.000)
Mn (0.500, 0.500, 0.500)

Calculated values
total moment = 3.2 μB per formula unit
E = -20.11 eV for the cell shown
DOS at the Fermi energy = 3.9 states/eV per cell
formation energy = 437 meV per atom
offset from the most stable computed form = 2.29 eV/f.u.

2.
DFT (GGA-PBE) results for a relaxed structure of Tm2MnAl.

abc: 3.508 3.508 7.112
angles: 90.00 90.00 90.00
Positions (direct):
Tm (0.000, 0.000, 0.761)
Tm (0.000, 0.000, 0.239)
Al (0.500, 0.500, 0.500)
Mn (0.500, 0.500, 0.000)

Calculated values
total moment = 2.7 μB per formula unit
E = -22.40 eV for the cell shown
DOS at the Fermi energy = 3.4 states/eV per cell
formation energy = -136 meV per atom
offset from the most stable computed form = 0.00 eV/f.u.

3.
DFT (GGA-PBE) results for a relaxed structure of TmMnAl11.

abc: 5.181 7.035 6.816
angles: 82.44 67.66 69.76
Positions (direct):
Tm (0.000, 0.000, 0.000)
Mn (0.500, 0.500, 0.000)
Al (0.289, 0.225, 0.212)
Al (0.711, 0.775, 0.788)
Al (0.499, 0.775, 0.212)
Al (0.501, 0.225, 0.788)
Al (0.367, 0.638, 0.658)
Al (0.633, 0.362, 0.342)
Al (0.975, 0.362, 0.658)
Al (0.025, 0.638, 0.342)
Al (0.000, 0.500, 0.000)
Al (0.500, 0.000, 0.500)
Al (0.000, 0.000, 0.500)

Calculated values
total moment = 0.0 μB per formula unit
E = -56.90 eV for the cell shown
DOS at the Fermi energy = 6.4 states/eV per cell
formation energy = -161 meV per atom

4.
DFT (GGA-PBE) results for a relaxed structure of Tm2MnAl3.

abc: 5.518 5.518 5.404
angles: 89.97 120.70 120.02
Positions (direct):
Tm (0.747, 0.374, 0.121)
Tm (0.253, 0.626, 0.879)
Mn (0.000, 0.000, 0.000)
Al (0.500, 0.500, 0.500)
Al (0.000, 0.000, 0.500)
Al (0.500, 0.000, 0.500)

Calculated values
total moment = 2.9 μB per formula unit
E = -31.87 eV for the cell shown
DOS at the Fermi energy = 3.4 states/eV per cell
formation energy = -421 meV per atom